No. 1
The following is a DFT calculation (PBE) of an optimized crystal structure of LaSiPt2I.

```
LaSiPt2I
1.0
-2.9300 -4.3156 -0.2452
4.9343 -3.2800 -1.2325
0.7460 -0.7966 5.1067
I Pt Si La
1 2 1 1
direct
0.5000 0.5000 0.5000
0.0000 0.0000 0.5000
0.5000 0.0000 0.0000
0.0000 0.5000 0.0000
0.0000 0.0000 0.0000
```

## Properties
Uncorrected energy ... -3.856 eV/atom
Theoretical density ... 6.9 Mg/m³
Spin magnetization ... 0.000 μB per formula unit
Space group ... P4/mmm (123)

---

No. 2
The following is a DFT calculation (PBE) of an optimized crystal structure of K2Ca2Cd15.

```
K2Ca2Cd15
1.0
-7.0033 -3.3286 2.0693
1.3612 -0.3386 7.9019
-3.7903 6.8000 1.9498
Cd Ca K
15 2 2
direct
0.0000 0.7082 0.2918
0.6404 0.6404 0.1499
0.7082 0.2918 0.0000
0.3596 0.8501 0.3596
0.2918 0.0000 0.7082
0.0000 0.2918 0.7082
0.0000 0.5000 0.0000
0.5000 0.0000 0.0000
0.8501 0.3596 0.3596
0.2918 0.7082 0.0000
0.7082 0.0000 0.2918
0.1499 0.6404 0.6404
0.0000 0.0000 0.5000
0.6404 0.1499 0.6404
0.3596 0.3596 0.8501
0.1074 0.1074 0.1074
0.8926 0.8926 0.8926
0.6505 0.6505 0.6505
0.3495 0.3495 0.3495
```

## Properties
Uncorrected energy ... -1.156 eV/atom
Theoretical density ... 6.1 Mg/m³
Spin magnetization ... 0.000 μB per formula unit
Space group ... R-3m (166)

---

No. 3
The following is a DFT calculation (PBE) of an optimized crystal structure of Ac2Sn6Pd.

```
Ac2Sn6Pd
1.0
6.0700 -0.0323 -0.0187
0.0355 6.8985 0.0084
0.0355 3.4442 5.9772
Sn Ac Pd
6 2 1
direct
0.3045 0.8248 0.8248
0.6955 0.1752 0.1752
0.3048 0.8236 0.3508
0.6952 0.6492 0.1764
0.3048 0.3508 0.8236
0.6952 0.1764 0.6492
0.1841 0.3324 0.3324
0.8159 0.6676 0.6676
0.0000 0.0000 0.0000
```

## Properties
Uncorrected energy ... -4.706 eV/atom
Theoretical density ... 8.4 Mg/m³
Spin magnetization ... 0.000 μB per formula unit
Space group ... C2/m (12)

---

No. 4
The following is a DFT calculation (PBE) of an optimized crystal structure of La3Pm6Sc.

```
La3Pm6Sc
1.0
-2.0654 -8.1197 -0.6802
8.3681 -1.8639 -3.1602
1.6996 3.5029 4.9641
La Pm Sc
3 6 1
direct
0.2211 0.7545 0.4423
0.0000 0.0000 0.0000
0.7789 0.2455 0.5577
0.6161 0.8648 0.2322
0.0661 0.6410 0.7585
0.3839 0.1352 0.7678
0.9339 0.3590 0.2415
0.6924 0.6410 0.7585
0.3076 0.3590 0.2415
0.5000 0.5000 0.0000
```

## Properties
Uncorrected energy ... -4.709 eV/atom
Theoretical density ... 6.2 Mg/m³
Spin magnetization ... 0.000 μB per formula unit
Space group ... C2/m (12)

---

No. 5
The following is a DFT calculation (PBE) of an optimized crystal structure of BaEuZnGa.

```
BaEuZnGa
1.0
5.5663 0.0000 0.0000
2.7831 4.8205 0.0000
2.7831 1.6068 4.5449
Eu Ba Zn Ga
1 1 1 1
direct
0.0000 0.0000 0.0000
0.5000 0.5000 0.5000
0.7500 0.7500 0.7500
0.2500 0.2500 0.2500
```

## Properties
Uncorrected energy ... -4.395 eV/atom
Theoretical density ... 5.8 Mg/m³
Spin magnetization ... 6.936 μB per formula unit
Space group ... F-43m (216)

---

No. 6
The following is a DFT calculation (PBE) of an optimized crystal structure of CdPPd2.

```
CdPPd2
1.0
0.0000 3.1836 3.1836
3.1836 0.0000 3.1836
3.1836 3.1836 0.0000
Cd Pd P
1 2 1
direct
0.5000 0.5000 0.5000
0.7500 0.7500 0.7500
0.2500 0.2500 0.2500
0.0000 0.0000 0.0000
```

## Properties
Uncorrected energy ... -4.310 eV/atom
Theoretical density ... 9.2 Mg/m³
Spin magnetization ... 0.000 μB per formula unit
Space group ... Fm-3m (225)

---

No. 7
The following is a DFT calculation (PBE) of an optimized crystal structure of Hf2Zr5Ge4.

```
Hf2Zr5Ge4
1.0
3.0465 0.0000 0.0000
0.0000 7.1281 1.0489
-1.5232 -0.5800 10.6693
Ge Zr Hf
4 5 2
direct
0.0470 0.6921 0.0941
0.9530 0.3079 0.9059
0.6620 0.5486 0.3239
0.3380 0.4514 0.6761
0.5000 0.0000 0.0000
0.0814 0.3179 0.1628
0.9186 0.6821 0.8372
0.1480 0.9167 0.2959
0.8520 0.0833 0.7041
0.2334 0.2623 0.4668
0.7666 0.7377 0.5332
```

## Properties
Uncorrected energy ... -7.538 eV/atom
Theoretical density ... 7.8 Mg/m³
Spin magnetization ... 0.000 μB per formula unit
Space group ... C2/m (12)

---

No. 8
The following is a DFT calculation (PBE) of an optimized crystal structure of Ac6Tl3I.

```
Ac6Tl3I
1.0
-1.8012 -0.0411 -7.9831
-0.4975 -10.0672 0.1640
-9.5636 2.3573 2.1457
I Ac Tl
2 12 6
direct
0.0281 0.1723 0.8277
0.5281 0.8277 0.1723
0.2315 0.1188 0.5284
0.1124 0.3286 0.2451
0.7315 0.5284 0.1188
0.1839 0.7030 0.2970
0.6124 0.2451 0.3286
0.1124 0.7549 0.6714
0.7626 0.0104 0.9896
0.6839 0.2970 0.7030
0.7315 0.8812 0.4716
0.2315 0.4716 0.8812
0.2626 0.9896 0.0104
0.6124 0.6714 0.7549
0.3513 0.4702 0.5298
0.9859 0.7316 0.9909
0.4859 0.9909 0.7316
0.4859 0.2684 0.0091
0.8513 0.5298 0.4702
0.9859 0.0091 0.2684
```

## Properties
Uncorrected energy ... -3.600 eV/atom
Theoretical density ... 8.5 Mg/m³
Spin magnetization ... 0.000 μB per formula unit
Space group ... Cmc2_1 (36)